# 1
! NbAlAg2H PBE-GGA relaxed; values from VASP
! Size of the total moment = 0.34 μB/f.u.
! Total DFT energy (no corrections) = -18.43 eV per cell
&SYSTEM
  ibrav = 0, nat = 5, ntyp = 4
/
ATOMIC_SPECIES
H 1.01 H.upf
Nb 92.91 Nb.upf
Al 26.98 Al.upf
Ag 107.87 Ag.upf
ATOMIC_POSITIONS angstrom
H -0.410 -0.317 -1.612
Nb 0.000 0.000 0.000
Al -3.108 2.274 -1.434
Ag -2.566 -0.011 0.655
Ag -0.133 2.601 -0.477
CELL_PARAMETERS angstrom
-0.265 5.202 -0.954
-0.820 -0.633 -3.224
-5.131 -0.022 1.309



# 2
! K3LiCe3O8 PBE-GGA relaxed; values from VASP
! Size of the total moment = 0.00 μB/f.u.
! Total DFT energy (no corrections) = -101.75 eV per cell
! E_form (uncorrected) = -2605 meV/atom
&SYSTEM
  ibrav = 0, nat = 15, ntyp = 4
/
ATOMIC_SPECIES
K 39.10 K.upf
Li 6.94 Li.upf
Ce 140.12 Ce.upf
O 16.00 O.upf
ATOMIC_POSITIONS angstrom
K 0.000 0.000 0.000
K -1.760 3.048 -0.011
K 1.760 3.048 -0.011
Li 0.000 -2.023 3.107
Ce 3.520 -2.022 3.107
Ce 1.760 1.026 3.096
Ce -1.760 1.026 3.096
O 0.000 2.037 1.887
O 3.520 0.014 4.305
O 3.520 1.929 2.034
O 0.000 0.123 4.158
O 5.185 -0.955 2.043
O -1.664 3.006 4.149
O 1.856 -0.955 2.044
O 1.665 3.007 4.149
CELL_PARAMETERS angstrom
7.040 0.000 0.000
-3.520 6.096 -0.022
0.000 -4.045 6.214



# 3
! YMnTl2 PBE-GGA relaxed; values from VASP
! ΔH_f (0 K) = 0.259 eV/atom
! Size of the total moment = 3.90 μB/f.u.
! Total DFT energy (no corrections) = -19.33 eV per cell
&SYSTEM
  ibrav = 0, nat = 4, ntyp = 3
/
ATOMIC_SPECIES
Mn 54.94 Mn.upf
Tl 204.38 Tl.upf
Y 88.91 Y.upf
ATOMIC_POSITIONS angstrom
Mn 5.208 3.007 2.126
Tl 0.000 0.000 0.000
Tl 2.604 1.503 1.063
Y 7.812 4.510 3.189
CELL_PARAMETERS angstrom
5.208 0.000 0.000
2.604 4.510 0.000
2.604 1.503 4.252



# 4
! CsTl3Cu4Br12 PBE-GGA relaxed; values from VASP
! Size of the total moment = 0.00 μB/f.u.
! Total DFT energy (no corrections) = -55.73 eV per cell
! E_form (uncorrected) = -566 meV/atom
&SYSTEM
  ibrav = 0, nat = 20, ntyp = 4
/
ATOMIC_SPECIES
Cs 132.91 Cs.upf
Tl 204.38 Tl.upf
Cu 63.55 Cu.upf
Br 79.90 Br.upf
ATOMIC_POSITIONS angstrom
Cs 0.000 0.000 0.000
Tl 1.390 -4.688 -3.380
Tl -5.476 -1.487 -1.772
Tl -1.084 -4.309 3.948
Cu -5.469 -3.171 -6.255
Cu -5.695 -4.380 5.242
Cu 3.408 -8.176 -0.793
Cu -2.585 -5.242 -0.602
Br -4.681 -4.216 -0.535
Br 0.300 -6.042 -6.024
Br 0.091 -7.164 4.643
Br -8.146 -2.520 -0.425
Br -2.555 -1.187 -2.458
Br 1.464 -3.375 -0.667
Br -2.123 -1.955 2.377
Br -5.672 -7.801 1.351
Br -5.049 -7.550 -3.517
Br -1.577 -9.586 -0.698
Br -1.498 -5.544 -2.645
Br -1.577 -5.966 1.375
CELL_PARAMETERS angstrom
-1.552 -2.575 -9.146
5.029 -7.302 3.754
-8.648 -0.607 4.189



# 5
! CaInGa2Pd5 PBE-GGA relaxed; values from VASP
! ΔH_f (0 K) = -0.462 eV/atom
! Size of the total moment = 0.00 μB/f.u.
! Total DFT energy (no corrections) = -40.92 eV per cell
&SYSTEM
  ibrav = 0, nat = 9, ntyp = 4
/
ATOMIC_SPECIES
Ca 40.08 Ca.upf
In 114.82 In.upf
Ga 69.72 Ga.upf
Pd 106.42 Pd.upf
ATOMIC_POSITIONS angstrom
Ca 0.000 0.000 4.504
In 0.000 0.000 0.000
Ga 2.134 2.134 1.229
Ga 2.134 2.134 7.779
Pd 0.000 2.134 2.445
Pd 2.134 0.000 2.445
Pd 0.000 2.134 6.563
Pd 2.134 0.000 6.563
Pd 2.134 2.134 4.504
CELL_PARAMETERS angstrom
4.268 0.000 0.000
0.000 4.268 0.000
0.000 0.000 9.008



# 6
! SrSeNF2 PBE-GGA relaxed; values from VASP
! Size of the total moment = 0.00 μB/f.u.
! Total DFT energy (no corrections) = -22.73 eV per cell
! Energy relative to the lowest polymorph listed for this composition = 0.0 kJ/mol of formula units
! E_form (uncorrected) = -1099 meV/atom
&SYSTEM
  ibrav = 0, nat = 5, ntyp = 4
/
ATOMIC_SPECIES
Sr 87.62 Sr.upf
N 14.01 N.upf
Se 78.96 Se.upf
F 19.00 F.upf
ATOMIC_POSITIONS angstrom
Sr 2.329 2.329 1.926
N 0.000 0.000 1.926
Se 0.000 0.000 0.000
F 0.000 2.329 0.000
F 2.329 0.000 0.000
CELL_PARAMETERS angstrom
4.658 0.000 0.000
0.000 4.658 0.000
0.000 0.000 3.852



# 7
! Th3Al5Cu6 PBE-GGA relaxed; values from VASP
! ΔH_f (0 K) = -0.346 eV/atom
! Size of the total moment = 0.00 μB/f.u.
! Total DFT energy (no corrections) = -70.39 eV per cell
&SYSTEM
  ibrav = 0, nat = 14, ntyp = 3
/
ATOMIC_SPECIES
Th 232.04 Th.upf
Al 26.98 Al.upf
Cu 63.55 Cu.upf
ATOMIC_POSITIONS angstrom
Th 0.000 0.000 0.000
Th -0.305 -5.832 1.045
Th 3.288 -9.301 2.521
Al 2.800 -11.928 4.261
Al 0.183 -3.206 -0.695
Al 3.362 -12.401 1.780
Al -0.378 -2.732 1.785
Al 3.014 -5.974 1.823
Cu 1.842 -7.862 0.234
Cu 1.141 -7.271 3.331
Cu 0.789 -10.002 4.099
Cu 2.194 -5.131 -0.534
Cu 1.626 -10.708 0.403
Cu 1.357 -4.425 3.163
CELL_PARAMETERS angstrom
-3.044 -3.186 -0.081
3.970 -6.780 -2.400
2.057 -5.167 6.046